{"formula": "Tm3Ga2Pd6", "functional": "PBE", "state": "relaxed", "density_kg_m3": 9896, "e_tot_ev_per_atom": -5.329, "sg": "I4/mmm, No. 139", "de_polymorph_mev_per_atom": 115, "e_form_ev_per_atom": -0.727, "magmom_total_mub_per_cell": 0.00, "lattice": [[-1.5564, -3.3139, 1.4512], [0.7722, -1.8477, -3.3912], [12.8656, -1.1447, 5.8401]], "species": ["Pd", "Pd", "Tm", "Tm", "Pd", "Pd", "Pd", "Tm", "Ga", "Pd", "Ga"], "fractional_positions": [[0.9251, 0.4251, 0.8503], [0.7206, 0.7206, 0.4413], [0.1778, 0.1778, 0.3556], [0.8222, 0.8222, 0.6444], [0.4251, 0.9251, 0.8503], [0.0749, 0.5749, 0.1497], [0.2794, 0.2794, 0.5587], [0.0000, 0.0000, 0.0000], [0.3698, 0.3698, 0.7396], [0.5749, 0.0749, 0.1497], [0.6302, 0.6302, 0.2604]]}